## Nb2InPd (PBE-GGA)

Data for a relaxed structure of Nb2InPd.

Lattice parameters (Å, degrees): 4.1106 4.1106 6.3136 71.00 71.00 60.00
Fractional positions:
Nb (0.0697, 0.0697, 0.7910)
Nb (0.2713, 0.2713, 0.1861)
In (0.4985, 0.4985, 0.5046)
Pd (0.6606, 0.6606, 0.0183)

Properties
E_tot (eV/atom): -6.54


## Na3CaIn3Cl8 (PBE-GGA)

Data for a relaxed structure of Na3CaIn3Cl8.

Lattice parameters (Å, degrees): 8.2965 8.3027 8.8546 118.01 90.00 119.98
Fractional positions:
Na (0.5000, 0.0000, 0.5000)
Na (0.5000, 0.5000, 0.5000)
Na (0.0000, 0.5000, 0.5000)
Ca (0.0000, 0.0000, 0.5000)
In (0.0000, 0.0000, 0.0000)
In (0.0000, 0.5000, 0.0000)
In (0.5000, 0.5000, 0.0000)
Cl (0.2630, 0.5260, 0.2896)
Cl (0.7370, 0.4740, 0.7104)
Cl (0.7720, 0.5441, 0.2943)
Cl (0.2280, 0.4559, 0.7057)
Cl (0.7719, 0.0221, 0.2944)
Cl (0.2281, 0.9779, 0.7056)
Cl (0.2502, 0.0221, 0.2944)
Cl (0.7498, 0.9779, 0.7056)

Properties
Formation energy without anion corrections (eV/f.u.): -22.72


## Zn3Cu2Pd2 (PBE-GGA)

Data for a relaxed structure of Zn3Cu2Pd2.

Lattice parameters (Å, degrees): 4.3991 4.4178 7.5072 93.23 115.12 126.10
Fractional positions:
Zn (0.0000, 0.0000, 0.0000)
Zn (0.2848, 0.1271, 0.7059)
Zn (0.7152, 0.8729, 0.2941)
Cu (0.5628, 0.2859, 0.4246)
Cu (0.4372, 0.7141, 0.5754)
Pd (0.8554, 0.4395, 0.1477)
Pd (0.1446, 0.5605, 0.8523)

Properties
E_tot (eV/atom): -3.52


## TlPPt3 (PBE-GGA)

Data for a relaxed structure of TlPPt3.

Lattice parameters (Å, degrees): 4.6048 4.6048 4.6048 90.00 90.00 90.00
Fractional positions:
P (0.0000, 0.0000, 0.0000)
Tl (0.5000, 0.5000, 0.5000)
Pt (0.0000, 0.5000, 0.0000)
Pt (0.0000, 0.0000, 0.5000)
Pt (0.5000, 0.0000, 0.0000)

Properties
ΔE to the lowest computed polymorph (meV per atom): 175


## PaBiSe (PBE-GGA)

Data for a relaxed structure of PaBiSe.

Lattice parameters (Å, degrees): 3.5219 3.5219 7.4440 103.68 103.68 90.00
Fractional positions:
Pa (0.6886, 0.6886, 0.3772)
Bi (0.0169, 0.0169, 0.0338)
Se (0.2945, 0.2945, 0.5890)

Properties
Formation energy without anion corrections (eV/f.u.): -2.02


## CdBi2Rh2 (PBE-GGA)

Data for a relaxed structure of CdBi2Rh2.

Lattice parameters (Å, degrees): 4.7299 4.6676 9.9068 90.02 90.00 90.00
Fractional positions:
Cd (0.7500, 0.2503, 0.6708)
Cd (0.2500, 0.7497, 0.3292)
Bi (0.7500, 0.2499, 0.9897)
Bi (0.2500, 0.7501, 0.6646)
Bi (0.2500, 0.7501, 0.0103)
Bi (0.7500, 0.2499, 0.3354)
Rh (0.2500, 0.2500, 0.5051)
Rh (0.7500, 0.7498, 0.1663)
Rh (0.2500, 0.2502, 0.8337)
Rh (0.7500, 0.7500, 0.4949)

Properties
ΔE to the lowest computed polymorph (meV per atom): 0


## LiNi2IrC (PBE-GGA)

Data for a relaxed structure of LiNi2IrC.

Lattice parameters (Å, degrees): 3.7925 3.7925 3.9702 90.00 90.00 90.00
Fractional positions:
Ni (0.0000, 0.5000, 0.0000)
Ni (0.5000, 0.0000, 0.0000)
C (0.0000, 0.0000, 0.0000)
Ir (0.0000, 0.0000, 0.5000)
Li (0.5000, 0.5000, 0.5000)

Properties
E_tot (eV/atom): -6.35


## Y2Si2Ir (PBE-GGA)

Data for a relaxed structure of Y2Si2Ir.

Lattice parameters (Å, degrees): 6.5290 6.5290 4.4735 90.00 90.00 90.00
Fractional positions:
Y (0.1752, 0.6752, 0.5000)
Y (0.6752, 0.8248, 0.5000)
Y (0.8248, 0.3248, 0.5000)
Y (0.3248, 0.1752, 0.5000)
Si (0.3665, 0.8665, 0.0000)
Si (0.8665, 0.6335, 0.0000)
Si (0.6335, 0.1335, 0.0000)
Si (0.1335, 0.3665, 0.0000)
Ir (0.0000, 0.0000, 0.0000)
Ir (0.5000, 0.5000, 0.0000)

Properties
Formation energy without anion corrections (eV/f.u.): -4.76


## LiSm3Au4 (PBE-GGA)

Data for a relaxed structure of LiSm3Au4.

Lattice parameters (Å, degrees): 5.0981 5.0981 8.8090 73.18 73.18 60.00
Fractional positions:
Au (0.8724, 0.8724, 0.3827)
Au (0.3788, 0.3788, 0.8635)
Au (0.1276, 0.1276, 0.6173)
Au (0.6212, 0.6212, 0.1365)
Sm (0.2573, 0.2573, 0.2280)
Sm (0.7427, 0.7427, 0.7720)
Sm (0.5000, 0.5000, 0.5000)
Li (0.0000, 0.0000, 0.0000)

Properties
E_tot (eV/atom): -4.38


## Pm3Al3Au8 (PBE-GGA)

Data for a relaxed structure of Pm3Al3Au8.

Lattice parameters (Å, degrees): 4.6429 8.6284 8.4971 63.66 74.14 74.39
Fractional positions:
Pm (0.2930, 0.7290, 0.6849)
Pm (0.7070, 0.2710, 0.3151)
Pm (0.0000, 0.0000, 0.0000)
Al (0.0000, 0.5000, 0.5000)
Al (0.6676, 0.6702, 0.9946)
Al (0.3324, 0.3298, 0.0054)
Au (0.1279, 0.1622, 0.5821)
Au (0.8721, 0.8378, 0.4179)
Au (0.8571, 0.4327, 0.8531)
Au (0.1429, 0.5673, 0.1469)
Au (0.5087, 0.6599, 0.3226)
Au (0.4913, 0.3401, 0.6774)
Au (0.3527, 0.0353, 0.2593)
Au (0.6473, 0.9647, 0.7407)

Properties
ΔE to the lowest computed polymorph (meV per atom): 0


## AlIn2Te (PBE-GGA)

Data for a relaxed structure of AlIn2Te.

Lattice parameters (Å, degrees): 5.3283 5.3283 5.3283 60.00 60.00 60.00
Fractional positions:
Te (0.5000, 0.5000, 0.5000)
Al (0.0000, 0.0000, 0.0000)
In (0.2500, 0.2500, 0.2500)
In (0.7500, 0.7500, 0.7500)

Properties
Formation energy without anion corrections (eV/f.u.): 0.75
ΔE to the lowest computed polymorph (meV per atom): 230


## Ac3UB2N6 (PBE-GGA)

Data for a relaxed structure of Ac3UB2N6.

Lattice parameters (Å, degrees): 5.6444 5.6444 7.0986 90.00 90.00 120.00
Fractional positions:
Ac (0.3333, 0.6667, 0.6894)
Ac (0.6667, 0.3333, 0.3106)
Ac (0.0000, 0.0000, 0.0000)
U (0.0000, 0.0000, 0.5000)
B (0.6667, 0.3333, 0.7196)
B (0.3333, 0.6667, 0.2804)
N (0.6349, 0.8174, 0.3054)
N (0.1826, 0.3651, 0.3054)
N (0.1826, 0.8174, 0.3054)
N (0.8174, 0.6349, 0.6946)
N (0.3651, 0.1826, 0.6946)
N (0.8174, 0.1826, 0.6946)

Properties
Formation energy without anion corrections (eV/f.u.): -13.49


> What is the formula in the first record?

Nb2InPd


What did the seventh record say?
## LiNi2IrC (PBE-GGA)

Data for a relaxed structure of LiNi2IrC.

Lattice parameters (Å, degrees): 3.7925 3.7925 3.9702 90.00 90.00 90.00
Fractional positions:
Ni (0.0000, 0.5000, 0.0000)
Ni (0.5000, 0.0000, 0.0000)
C (0.0000, 0.0000, 0.0000)
Ir (0.0000, 0.0000, 0.5000)
Li (0.5000, 0.5000, 0.5000)

Properties
E_tot (eV/atom): -6.35